Sm2DyTmSe4: relaxed, GGA-PBE.

Values from the calculation:
E_form (uncorrected): -170 kJ per mole of atoms

a = 7.0573 Å, b = 4.0461 Å, c = 7.2597 Å
α = 90.00°, β = 108.70°, γ = 90.00°
Closest atoms and distances in Å follow each position.
Space group P2/m (No. 10)
Symmetry-distinct sites (fractional):
1 Sm 0.0000 0.0000 0.0000 (multiplicity 1)  6 Se 2.97
2 Sm 0.5000 0.5000 0.0000 (multiplicity 1)  6 Se 2.95
3 Dy 0.0000 0.5000 0.5000 (multiplicity 1)  6 Se 2.87
4 Tm 0.5000 0.0000 0.5000 (multiplicity 1)  6 Se 2.84-2.85
5 Se 0.2487 0.0000 0.7384 (multiplicity 2)  1 Tm 2.85, 2 Dy 2.87, 3 Sm 2.95-2.97
6 Se 0.2573 0.5000 0.2634 (multiplicity 2)  2 Tm 2.84, 1 Dy 2.87, 3 Sm 2.95-2.97

Nd6HoTm8: relaxed, GGA-PBE.

Values from the calculation:
formation enthalpy at 0 K: 178 kJ/mol of formula units

a = 9.0307 Å, b = 9.0307 Å, c = 20.8527 Å
α = 90.00°, β = 90.00°, γ = 120.00°
Closest atoms and distances in Å follow each position.
Space group R-3 (No. 148, hexagonal axes)
Symmetry-distinct sites (fractional):
1 Nd 0.0630 0.2493 0.2113 (multiplicity 18)  4 Tm 3.37-3.66, 1 Ho 3.44, 2 Nd 3.51
2 Ho 0.0000 0.0000 0.5000 (multiplicity 3)  6 Nd 3.44, 6 Tm 3.54
3 Tm 0.0000 0.0000 0.0766 (multiplicity 6)  4 Tm 3.20-3.41, 3 Nd 3.46
4 Tm 0.0807 0.5577 0.3074 (multiplicity 18)  3 Nd 3.37-3.66, 5 Tm 3.41-3.43, 1 Ho 3.54

CaZn2Ga4Cu: relaxed, GGA-PBE.

Values from the calculation:
formation enthalpy at 0 K: -116 kJ/mol of formula units

a = 4.3763 Å, b = 4.3763 Å, c = 26.9549 Å
α = 90.00°, β = 90.00°, γ = 120.00°
Closest atoms and distances in Å follow each position.
Space group R-3m (No. 166, hexagonal axes)
Symmetry-distinct sites (fractional):
1 Ca 0.0000 0.0000 0.0000 (multiplicity 3)  6 Ga 3.16, 6 Zn 3.26
2 Zn 0.0000 0.0000 0.2572 (multiplicity 6)  3 Ga 2.53
3 Ga 0.0000 0.0000 0.1358 (multiplicity 6)  3 Cu 2.66
4 Ga 0.0000 0.0000 0.4038 (multiplicity 6)  3 Zn 2.53, 1 Cu 2.59
5 Cu 0.0000 0.0000 0.5000 (multiplicity 3)  8 Ga 2.59-2.66

Pa3Tc4N12: relaxed, GGA-PBE.

Values from the calculation:
E_form (uncorrected): -48 kJ per mole of atoms

a = 7.7784 Å, b = 7.7784 Å, c = 7.7784 Å
α = 90.00°, β = 90.00°, γ = 90.00°
Closest atoms and distances in Å follow each position.
Space group Im-3 (No. 204)
Symmetry-distinct sites (fractional):
1 Pa 0.0000 0.0000 0.5000 (multiplicity 6)  4 N 2.24
2 Tc 0.2500 0.2500 0.2500 (multiplicity 8)  6 N 2.01
3 N 0.0000 0.2093 0.3018 (multiplicity 24)  2 Tc 2.01, 1 Pa 2.24

BaReBr: relaxed, GGA-PBE.

Values from the calculation:
relative energy among the computed polymorphs: 133.8 meV per atom
E_form (uncorrected): 98 kJ per mole of atoms

a = 3.5403 Å, b = 3.5403 Å, c = 7.3948 Å
α = 90.00°, β = 90.00°, γ = 120.00°
Closest atoms and distances in Å follow each position.
Space group P3m1 (No. 156)
Symmetry-distinct sites (fractional):
1 Ba 0.0000 0.0000 0.0000 (multiplicity 1)  3 Re 3.26, 3 Br 3.49, 6 Ba 3.54
2 Re 0.3333 0.6667 0.6573 (multiplicity 1)  3 Br 2.88
3 Br 0.6667 0.3333 0.3824 (multiplicity 1)  3 Re 2.88

Ti8C2N: relaxed, GGA-PBE.

Values from the calculation:
E_form (uncorrected): -60 kJ per mole of atoms

a = 9.5287 Å, b = 7.1181 Å, c = 4.5351 Å
α = 90.00°, β = 90.79°, γ = 90.00°
Closest atoms and distances in Å follow each position.
Space group C2/m (No. 12)
Symmetry-distinct sites (fractional):
1 Ti 0.1052 0.2073 0.2395 (multiplicity 8)  1 N 2.08, 1 C 2.09
2 Ti 0.1085 0.5000 0.7519 (multiplicity 4)  3 C 2.11-2.27
3 Ti 0.1724 0.0000 0.7371 (multiplicity 4)  1 N 2.04, 1 C 2.05
4 C 0.1128 0.5000 0.2530 (multiplicity 4)  6 Ti 2.05-2.27
5 N 0.0000 0.0000 0.0000 (multiplicity 2)  6 Ti 2.04-2.08

Na2ReAs: relaxed, GGA-PBE.

Values from the calculation:
formation enthalpy at 0 K: 286 kJ/mol of formula units

a = 10.8462 Å, b = 10.8462 Å, c = 4.7117 Å
α = 90.00°, β = 90.00°, γ = 90.00°
Closest atoms and distances in Å follow each position.
Space group I-42d (No. 122)
Symmetry-distinct sites (fractional):
1 Na 0.0763 0.2500 0.1250 (multiplicity 8)  2 As 2.90
2 Re 0.0000 0.0000 0.5000 (multiplicity 4)  2 As 2.36
3 As 0.0000 0.0000 0.0000 (multiplicity 4)  2 Re 2.36

Sm6TlNi2Br3: relaxed, GGA-PBE.

Values from the calculation:
E_form (uncorrected): -73 kJ per mole of atoms

a = 19.4129 Å, b = 4.0161 Å, c = 9.1382 Å
α = 90.00°, β = 106.79°, γ = 90.00°
Closest atoms and distances in Å follow each position.
Space group C2/m (No. 12)
Symmetry-distinct sites (fractional):
1 Sm 0.0218 0.0000 0.2681 (multiplicity 4)  1 Ni 2.76, 2 Br 3.04
2 Sm 0.1670 0.5000 0.1410 (multiplicity 4)  2 Ni 2.75
3 Sm 0.1796 0.5000 0.5617 (multiplicity 4)  3 Ni 2.76-2.79
4 Tl 0.0000 0.5000 0.0000 (multiplicity 2)  6 Sm 3.10-3.12
5 Ni 0.1701 0.0000 0.3492 (multiplicity 4)  6 Sm 2.75-2.79
6 Br 0.0000 0.5000 0.5000 (multiplicity 2)  6 Sm 3.04-3.37
7 Br 0.1653 0.0000 0.8398 (multiplicity 4)  6 Sm 3.21-3.48

ZrV2Pd2: relaxed, GGA-PBE.

Values from the calculation:
formation enthalpy at 0 K: -61 kJ/mol of formula units
relative energy among the computed polymorphs: 0.0 meV per atom

a = 3.4927 Å, b = 3.4927 Å, c = 13.7148 Å
α = 90.00°, β = 90.00°, γ = 90.00°
Closest atoms and distances in Å follow each position.
Space group I4/mmm (No. 139)
Symmetry-distinct sites (fractional):
1 Zr 0.0000 0.0000 0.0000 (multiplicity 2)  8 Pd 2.82
2 V 0.0000 0.5000 0.2500 (multiplicity 4)  4 V 2.47, 4 Pd 2.71
3 Pd 0.0000 0.0000 0.4012 (multiplicity 4)  1 Pd 2.71, 4 V 2.71, 4 Zr 2.82

LiZrAg: relaxed, GGA-PBE.

Values from the calculation:
formation enthalpy at 0 K: 14 kJ/mol of formula units
relative energy among the computed polymorphs: 173.8 meV per atom

a = 3.5332 Å, b = 4.6029 Å, c = 14.1583 Å
α = 90.00°, β = 90.00°, γ = 90.00°
Closest atoms and distances in Å follow each position.
Space group Fmm2 (No. 42)
Symmetry-distinct sites (fractional):
1 Li 0.0000 0.0000 0.0000 (multiplicity 4)  2 Ag 2.71, 4 Li 2.90
2 Zr 0.0000 0.0000 0.3167 (multiplicity 4)  4 Zr 2.90, 2 Ag 3.00, 2 Li 3.14
3 Ag 0.0000 0.0000 0.6455 (multiplicity 4)  2 Li 2.71, 4 Ag 2.90, 2 Zr 3.00

Cd11Ag9Au4: relaxed, GGA-PBE.

Values from the calculation:
formation enthalpy at 0 K: -179 kJ/mol of formula units

a = 13.8226 Å, b = 20.1729 Å, c = 3.3796 Å
α = 90.00°, β = 90.00°, γ = 90.00°
Closest atoms and distances in Å follow each position.
Space group Cmmm (No. 65)
Symmetry-distinct sites (fractional):
1 Cd 0.0000 0.0000 0.0000 (multiplicity 2)  8 Ag 2.90
2 Cd 0.0000 0.1746 0.0000 (multiplicity 4)  8 Ag 2.94-2.95, 2 Cd 3.15
3 Cd 0.0000 0.3685 0.0000 (multiplicity 4)  4 Au 2.88, 6 Ag 3.04-3.15
4 Cd 0.2282 0.1779 0.0000 (multiplicity 8)  2 Au 2.90, 6 Ag 2.95-3.03, 2 Cd 2.97-3.15
5 Cd 0.2405 0.0000 0.0000 (multiplicity 4)  4 Au 2.86, 4 Ag 2.95
6 Ag 0.0000 0.5000 0.5000 (multiplicity 2)  4 Au 2.86, 4 Cd 3.15
7 Ag 0.1086 0.2676 0.5000 (multiplicity 8)  1 Au 2.94, 8 Cd 2.94-3.04, 1 Ag 3.00
8 Ag 0.1169 0.0852 0.5000 (multiplicity 8)  8 Cd 2.90-2.95, 1 Au 3.11, 1 Ag 3.23
9 Au 0.1584 0.4091 0.5000 (multiplicity 8)  3 Ag 2.86-3.11, 6 Cd 2.86-2.90

LaSc2InO: relaxed, GGA-PBE.

Values from the calculation:
E_form (uncorrected): -129 kJ per mole of atoms

a = 4.6044 Å, b = 4.6044 Å, c = 4.9602 Å
α = 90.00°, β = 90.00°, γ = 90.00°
Closest atoms and distances in Å follow each position.
Space group P4/mmm (No. 123)
Symmetry-distinct sites (fractional):
1 La 0.0000 0.0000 0.0000 (multiplicity 1)  2 O 2.48
2 Sc 0.0000 0.5000 0.5000 (multiplicity 2)  2 O 2.30
3 In 0.5000 0.5000 0.0000 (multiplicity 1)  4 La 3.26, 8 Sc 3.38
4 O 0.0000 0.0000 0.5000 (multiplicity 1)  4 Sc 2.30, 2 La 2.48